The following is a GGA+U calculation of crystalline YMnF3 at its relaxed geometry, from Alexandria via LeMat-Bulk.

The value obtained for the total energy is -6.52 eV per atom.

It has space group Pm-3m (No. 221), with a = 4.5278 Å, b = 4.5278 Å, c = 4.5278 Å, α = 90.00°, β = 90.00° and γ = 90.00°. The asymmetric unit holds Y at (0.0000, 0.0000, 0.0000), Mn at (0.5000, 0.5000, 0.5000) and F at (0.0000, 0.0000, 0.5000).